# 1
The following is a PBE calculation of a geometry-optimized YTlW2 structure, from Alexandria via LeMat-Bulk.

The structure in extended XYZ format:
```
4
Lattice="5.418 -0.007 0.007 4.580 2.895 0.007 0.834 0.241 5.140" Properties=species:S:1:pos:R:3 pbc="T T T"
W 10.771 3.111 5.143
W 5.476 1.582 2.587
Tl 2.708 0.782 1.288
Y 8.124 2.347 3.865
```

Summary:
- calculated formation energy (eV per atom) = 0.781
- total magnetic moment (μB/cell) = 0.0
- energy relative to the lowest polymorph listed for this composition (eV/atom) = 0.484



# 2
The following is a PBE calculation of a geometry-optimized YTl2W structure, from Alexandria via LeMat-Bulk.

The structure in extended XYZ format:
```
4
Lattice="-2.282 2.160 0.694 -0.797 -2.631 1.672 5.265 3.159 7.482" Properties=species:S:1:pos:R:3 pbc="T T T"
Tl 0.017 0.010 0.024
W 2.636 1.582 3.745
Y 2.269 2.050 6.595
Tl -0.103 0.626 3.224
```

Summary:
- calculated formation energy (eV per atom) = 0.545
- total magnetic moment (μB/cell) = 0.0
- energy relative to the lowest polymorph listed for this composition (eV/atom) = 0.077



# 3
The following is a PBE calculation of a geometry-optimized YTlW2 structure, from Alexandria via LeMat-Bulk.

The structure in extended XYZ format:
```
4
Lattice="5.092 0.000 0.000 0.000 3.019 -0.002 0.000 0.470 5.442" Properties=species:S:1:pos:R:3 pbc="T T T"
Tl 2.546 2.616 4.080
W 0.000 2.781 0.172
W 0.000 1.982 2.546
Y 2.546 0.872 1.360
```

Summary:
- calculated formation energy (eV per atom) = 0.691
- total magnetic moment (μB/cell) = 0.0
- energy relative to the lowest polymorph listed for this composition (eV/atom) = 0.393



# 4
The following is a PBE calculation of a geometry-optimized YTl2W structure, from Alexandria via LeMat-Bulk.

The structure in extended XYZ format:
```
4
Lattice="-3.610 9.153 4.033 -2.923 7.574 6.868 -0.532 9.223 5.266" Properties=species:S:1:pos:R:3 pbc="T T T"
Tl -0.004 0.016 0.010
Y -5.370 19.722 12.287
Tl -1.703 6.254 3.896
W -3.521 12.932 8.057
```

Summary:
- calculated formation energy (eV per atom) = 0.609
- total magnetic moment (μB/cell) = 0.5
- energy relative to the lowest polymorph listed for this composition (eV/atom) = 0.142



# 5
The following is a PBE calculation of a geometry-optimized YTlW3 structure, from Alexandria via LeMat-Bulk.

The structure in extended XYZ format:
```
5
Lattice="5.017 0.000 0.000 0.000 5.017 0.000 0.000 0.000 5.017" Properties=species:S:1:pos:R:3 pbc="T T T"
Y 2.509 2.509 2.509
W 0.000 0.000 2.509
Tl 0.000 0.000 0.000
W 0.000 2.509 0.000
W 2.509 0.000 0.000
```

Summary:
- calculated formation energy (eV per atom) = 2.562
- total magnetic moment (μB/cell) = 0.0
- energy relative to the lowest polymorph listed for this composition (eV/atom) = 0.000



# 6
The following is a PBE calculation of a geometry-optimized YTlW2 structure, from Alexandria via LeMat-Bulk.

The structure in extended XYZ format:
```
4
Lattice="-1.663 1.961 -2.087 -1.992 -2.526 -0.786 -4.784 2.000 5.691" Properties=species:S:1:pos:R:3 pbc="T T T"
W -0.193 0.081 0.229
Tl -5.564 1.279 3.008
W -2.819 0.132 -0.257
Y -2.255 0.943 2.683
```

Summary:
- calculated formation energy (eV per atom) = 0.298
- total magnetic moment (μB/cell) = 0.0
- energy relative to the lowest polymorph listed for this composition (eV/atom) = 0.000



# 7
The following is a PBE calculation of a geometry-optimized YTl2W structure, from Alexandria via LeMat-Bulk.

The structure in extended XYZ format:
```
4
Lattice="4.806 0.000 0.000 0.000 3.094 0.154 0.000 1.363 6.211" Properties=species:S:1:pos:R:3 pbc="T T T"
Tl 0.000 0.285 0.111
Tl 0.000 1.943 3.071
Y 2.403 3.343 4.773
W 2.403 1.114 1.591
```

Summary:
- calculated formation energy (eV per atom) = 0.518
- total magnetic moment (μB/cell) = 0.3
- energy relative to the lowest polymorph listed for this composition (eV/atom) = 0.051



# 8
The following is a PBE calculation of a geometry-optimized YTl2W structure, from Alexandria via LeMat-Bulk.

The structure in extended XYZ format:
```
4
Lattice="4.317 0.000 0.000 0.000 4.598 0.000 0.000 0.000 4.576" Properties=species:S:1:pos:R:3 pbc="T T T"
Y 0.000 2.299 2.288
Tl 2.158 2.299 0.000
Tl 0.000 0.000 0.000
W 2.158 0.000 2.288
```

Summary:
- calculated formation energy (eV per atom) = 0.557
- total magnetic moment (μB/cell) = 0.0
- energy relative to the lowest polymorph listed for this composition (eV/atom) = 0.090



# 9
The following is a PBE calculation of a geometry-optimized YTlW2 structure, from Alexandria via LeMat-Bulk.

The structure in extended XYZ format:
```
4
Lattice="3.040 -0.004 0.000 -1.128 2.823 0.000 0.000 0.000 9.708" Properties=species:S:1:pos:R:3 pbc="T T T"
W 0.956 1.410 2.184
W 0.000 0.000 0.250
Tl 0.956 1.410 7.474
Y 0.000 0.000 4.655
```

Summary:
- calculated formation energy (eV per atom) = 0.484
- total magnetic moment (μB/cell) = 0.0
- energy relative to the lowest polymorph listed for this composition (eV/atom) = 0.186



# 10
The following is a PBE calculation of a geometry-optimized YTl4W structure, from Alexandria via LeMat-Bulk.

The structure in extended XYZ format:
```
6
Lattice="0.000 4.239 4.239 4.239 0.000 4.239 4.239 4.239 0.000" Properties=species:S:1:pos:R:3 pbc="T T T"
Tl 3.184 5.294 5.294
Y 0.000 0.000 0.000
Tl 5.294 5.294 3.184
W 6.359 6.359 6.359
Tl 5.294 3.184 5.294
Tl 3.184 3.184 3.184
```

Summary:
- calculated formation energy (eV per atom) = 0.832
- total magnetic moment (μB/cell) = 0.0



# 11
The following is a PBE calculation of a geometry-optimized YTlW2 structure, from Alexandria via LeMat-Bulk.

The structure in extended XYZ format:
```
4
Lattice="-3.687 -3.818 -2.064 0.558 -1.609 -5.435 2.814 0.350 4.939" Properties=species:S:1:pos:R:3 pbc="T T T"
Tl 0.903 -1.987 -2.122
W -0.004 -0.007 -0.009
Y -1.219 -3.091 -0.437
W -1.561 -2.707 -3.740
```

Summary:
- calculated formation energy (eV per atom) = 0.753
- total magnetic moment (μB/cell) = 0.0
- energy relative to the lowest polymorph listed for this composition (eV/atom) = 0.455



# 12
The following is a PBE calculation of a geometry-optimized Y4TlW structure, from Alexandria via LeMat-Bulk.

The structure in extended XYZ format:
```
6
Lattice="2.149 -0.190 5.685 -3.046 2.737 4.495 -2.844 -3.333 4.216" Properties=species:S:1:pos:R:3 pbc="T T T"
Y -1.396 -0.293 5.373
Y -2.839 -1.983 7.510
Tl -2.806 -0.589 10.796
W 0.000 0.000 0.000
Y -0.307 -0.390 8.255
Y -2.941 1.095 7.652
```

Summary:
- calculated formation energy (eV per atom) = 0.837
- total magnetic moment (μB/cell) = 0.0



# 13
The following is a PBE calculation of a geometry-optimized YTl2W structure, from Alexandria via LeMat-Bulk.

The structure in extended XYZ format:
```
4
Lattice="5.173 0.000 0.000 2.586 4.480 0.000 2.586 1.493 4.223" Properties=species:S:1:pos:R:3 pbc="T T T"
Tl 2.586 1.493 1.056
W 5.173 2.986 2.112
Y 7.759 4.480 3.168
Tl 0.000 0.000 0.000
```

Summary:
- calculated formation energy (eV per atom) = 0.870
- total magnetic moment (μB/cell) = 2.5
- energy relative to the lowest polymorph listed for this composition (eV/atom) = 0.403



# 14
The following is a PBE calculation of a geometry-optimized YTlW2 structure, from Alexandria via LeMat-Bulk.

The structure in extended XYZ format:
```
4
Lattice="-1.137 -0.678 -3.406 -1.046 -3.350 1.016 -5.856 2.283 1.500" Properties=species:S:1:pos:R:3 pbc="T T T"
W -3.267 1.274 0.837
Tl -5.483 -0.302 -0.070
W -5.517 2.151 1.413
Y -2.555 -1.443 -0.820
```

Summary:
- calculated formation energy (eV per atom) = 0.833
- total magnetic moment (μB/cell) = 0.0
- energy relative to the lowest polymorph listed for this composition (eV/atom) = 0.536



# 15
The following is a PBE calculation of a geometry-optimized Y2TlZnW structure, from Alexandria via LeMat-Bulk.

The structure in extended XYZ format:
```
5
Lattice="5.318 0.000 0.000 0.000 4.759 0.000 0.000 0.000 5.318" Properties=species:S:1:pos:R:3 pbc="T T T"
Y 2.659 0.000 0.000
Tl 0.000 2.379 0.000
Y 0.000 0.000 2.659
Zn 0.000 0.000 0.000
W 2.659 2.379 2.659
```

Summary:
- calculated formation energy (eV per atom) = 1.092
- total magnetic moment (μB/cell) = 1.3